# 1
VASP calculation (GGA-PBE) on crystalline TcSb2I at its relaxed geometry.

Summary:
Calculated volume   584.6 Å³ per cell
Crystal system   tetragonal
Energy above the most stable polymorph in this dataset   0.000 eV/atom
Formation energy without anion corrections   457 meV/atom
Energy   -0.168 Ha/atom

a = 6.8713 Å, b = 6.8713 Å, c = 12.3814 Å
α = 90.00°, β = 90.00°, γ = 90.00°
Closest atoms and distances in Å follow each position.
Space group I-42d (No. 122)
One atom of each set of equivalent atoms:
Tc1 0.0000 0.0000 0.0000 (multiplicity 4)  4 Sb 2.52
Sb1 0.1443 0.2500 0.1250 (multiplicity 8)  2 Tc 2.52
I1 0.0000 0.0000 0.5000 (multiplicity 4)  4 Sb 3.36

---

# 2
VASP calculation (GGA-PBE) on crystalline CsAgHgTe2 at its relaxed geometry.

Summary:
Calculated volume   771.9 Å³ per cell
Crystal system   monoclinic
Formation energy without anion corrections   -467 meV/atom
Energy   -0.093 Ha/atom

a = 14.8406 Å, b = 4.7686 Å, c = 11.1219 Å
α = 90.00°, β = 101.27°, γ = 90.00°
Closest atoms and distances in Å follow each position.
Space group C2/m (No. 12)
One atom of each set of equivalent atoms:
Cs1 0.1642 0.0000 0.1842 (multiplicity 4)  6 Te 3.80-4.22, 2 Ag 4.15, 2 Hg 4.24
Ag1 0.1519 0.0000 0.5792 (multiplicity 4)  4 Te 2.82-3.15
Hg1 0.0391 0.5000 0.6990 (multiplicity 4)  3 Te 2.80-2.91
Te1 0.1211 0.0000 0.8243 (multiplicity 4)  1 Ag 2.85, 2 Hg 2.91
Te2 0.1395 0.5000 0.4412 (multiplicity 4)  1 Hg 2.80, 2 Ag 2.82

---

# 3
VASP calculation (GGA-PBE) on crystalline CuH2I3 at its relaxed geometry.

Summary:
Calculated volume   423.8 Å³ per cell
Crystal system   monoclinic
Energy   -0.092 Ha/atom

a = 7.4825 Å, b = 7.6803 Å, c = 7.5519 Å
α = 90.00°, β = 102.41°, γ = 90.00°
Closest atoms and distances in Å follow each position.
Space group P2_1/m (No. 11)
One atom of each set of equivalent atoms:
Cu1 0.0797 0.2500 0.0732 (multiplicity 2)  1 H 1.73
H1 0.1328 0.7500 0.8704 (multiplicity 2)  1 Cu 1.73
H2 0.2563 0.2500 0.5192 (multiplicity 2)  1 I 1.64
I1 0.1639 0.0083 0.8309 (multiplicity 4)  1 H 2.03
I2 0.3680 0.2500 0.3542 (multiplicity 2)  1 H 1.64

---

# 4
VASP calculation (GGA-PBE) on crystalline La2Ni4Sn3Ge at its relaxed geometry.

Summary:
Calculated volume   199.4 Å³ per cell
Crystal system   tetragonal
E_form   -0.575 eV per atom
Energy   -0.203 Ha/atom

a = 4.4430 Å, b = 4.4430 Å, c = 10.1035 Å
α = 90.00°, β = 90.00°, γ = 90.00°
Closest atoms and distances in Å follow each position.
Space group P-4m2 (No. 115)
One atom of each set of equivalent atoms:
La1 0.0000 0.5000 0.2494 (multiplicity 2)  9 Ni 3.36-3.73, 2 Ge 3.37, 6 Sn 3.37
Ni1 0.0000 0.0000 0.0000 (multiplicity 1)  4 Sn 2.57
Ni2 0.0000 0.5000 0.6191 (multiplicity 2)  2 Ge 2.53, 3 Sn 2.53-2.56
Ni3 0.5000 0.5000 0.0000 (multiplicity 1)  4 Sn 2.57
Sn1 0.0000 0.5000 0.8723 (multiplicity 2)  5 Ni 2.56-2.57
Sn2 0.5000 0.5000 0.5000 (multiplicity 1)  4 Ni 2.53
Ge1 0.0000 0.0000 0.5000 (multiplicity 1)  4 Ni 2.53

---

# 5
VASP calculation (GGA-PBE) on crystalline ReTe2 at its relaxed geometry.

Summary:
Calculated volume   78.1 Å³ per cell
Crystal system   trigonal
Formation energy without anion corrections   285 meV/atom
Energy   -0.219 Ha/atom

a = 3.7937 Å, b = 3.7937 Å, c = 6.2682 Å
α = 90.00°, β = 90.00°, γ = 120.00°
Closest atoms and distances in Å follow each position.
Space group P-3m1 (No. 164)
One atom of each set of equivalent atoms:
Re1 0.0000 0.0000 0.0000 (multiplicity 1)  6 Te 2.72
Te1 0.3333 0.6667 0.7434 (multiplicity 2)  3 Re 2.72

---

# 6
VASP calculation (GGA-PBE) on crystalline LaZn3Ir at its relaxed geometry.

Summary:
Calculated volume   167.5 Å³ per cell
Crystal system   cubic
E_form   1.797 eV per atom
Energy above the most stable polymorph in this dataset   2.202 eV/atom
Energy   -0.063 Ha/atom

a = 5.5122 Å, b = 5.5122 Å, c = 5.5122 Å
α = 90.00°, β = 90.00°, γ = 90.00°
Closest atoms and distances in Å follow each position.
Space group Pm-3m (No. 221)
One atom of each set of equivalent atoms:
La1 0.0000 0.0000 0.0000 (multiplicity 1)  6 Zn 2.76
Zn1 0.0000 0.0000 0.5000 (multiplicity 3)  2 La 2.76
Ir1 0.5000 0.5000 0.5000 (multiplicity 1)  12 Zn 3.90

---

# 7
VASP calculation (GGA-PBE) on crystalline Ce2Dy2Ge at its relaxed geometry.

Summary:
Calculated volume   309.1 Å³ per cell
Crystal system   tetragonal
E_form   0.239 eV per atom
Energy   -0.180 Ha/atom

a = 4.1961 Å, b = 4.1961 Å, c = 17.5531 Å
α = 90.00°, β = 90.00°, γ = 90.00°
Closest atoms and distances in Å follow each position.
Space group I4/mmm (No. 139)
One atom of each set of equivalent atoms:
Ce1 0.0000 0.0000 0.0773 (multiplicity 4)  1 Ce 2.71
Dy1 0.0000 0.5000 0.2500 (multiplicity 4)  4 Dy 2.97
Ge1 0.0000 0.0000 0.5000 (multiplicity 2)  8 Ce 3.26

---

# 8
VASP calculation (GGA-PBE) on crystalline YTePt at its relaxed geometry.

Summary:
Calculated volume   147.6 Å³ per cell
Crystal system   tetragonal
Formation energy without anion corrections   -1087 meV/atom
Energy   -0.232 Ha/atom

a = 4.0336 Å, b = 4.0336 Å, c = 9.0742 Å
α = 90.00°, β = 90.00°, γ = 90.00°
Closest atoms and distances in Å follow each position.
Space group P4/nmm (No. 129, origin choice 2)
One atom of each set of equivalent atoms:
Y1 0.2500 0.2500 0.2404 (multiplicity 2)  4 Pt 2.97, 4 Te 3.08
Te1 0.2500 0.2500 0.6324 (multiplicity 2)  4 Y 3.08
Pt1 0.2500 0.7500 0.0000 (multiplicity 2)  4 Pt 2.85, 4 Y 2.97